Material: ReAsPb
Method: DFT, PBE-GGA
State: relaxed

a b c (Å): 3.240 3.240 7.054
angles (deg): 90.00 90.00 120.00
Positions (direct):
Re  0.000  0.000  0.000
As  0.667  0.333  0.232
Pb  0.333  0.667  0.666

Computed properties:
Its space-group type is No. 156. The energy relative to the lowest polymorph listed for this composition is 0.020 eV/atom. The calculation puts the formation energy at 0.353 eV/atom.

Material: Nd4Sm2YEr2
Method: DFT, PBE-GGA
State: relaxed

a b c (Å): 8.110 8.110 8.071
angles (deg): 107.58 107.58 36.84
Positions (direct):
Nd  0.055  0.055  0.332
Nd  0.278  0.278  0.669
Nd  0.722  0.722  0.331
Nd  0.945  0.945  0.668
Sm  0.388  0.388  0.331
Sm  0.612  0.612  0.669
Y  0.500  0.500  0.000
Er  0.167  0.167  0.000
Er  0.833  0.833  0.000

Computed properties:
Its space-group type is No. 12. The calculation puts the formation energy at 0.021 eV/atom.

Material: CoAgS3
Method: DFT, PBE-GGA
State: relaxed

a b c (Å): 4.481 4.481 4.481
angles (deg): 90.00 90.00 90.00
Positions (direct):
Co  0.000  0.000  0.000
Ag  0.500  0.500  0.500
S  0.000  0.000  0.500
S  0.000  0.500  0.000
S  0.500  0.000  0.000

Computed properties:
Its space-group type is No. 221. The energy relative to the lowest polymorph listed for this composition is 0.000 eV/atom.

Material: IrC4
Method: DFT, PBE-GGA
State: relaxed

a b c (Å): 4.138 3.809 5.591
angles (deg): 90.00 99.63 90.00
Positions (direct):
Ir  0.000  0.000  0.000
Ir  0.000  0.500  0.500
C  0.308  0.170  0.764
C  0.308  0.330  0.264
C  0.450  0.582  0.107
C  0.450  0.918  0.607
C  0.550  0.082  0.393
C  0.550  0.418  0.893
C  0.692  0.670  0.736
C  0.692  0.830  0.236

Computed properties:
Its space-group type is No. 14. The energy relative to the lowest polymorph listed for this composition is 0.395 eV/atom. The calculation puts the formation energy at 0.976 eV/atom.

Material: RbCo2TcH
Method: DFT, PBE-GGA
State: relaxed

a b c (Å): 4.516 4.516 4.441
angles (deg): 90.00 90.00 90.00
Positions (direct):
Rb  0.000  0.000  0.000
Co  0.000  0.500  0.500
Co  0.500  0.000  0.500
Tc  0.500  0.500  0.500
H  0.500  0.500  0.000

Computed properties:
Its space-group type is No. 123.

Material: CuIr3Se
Method: DFT, PBE-GGA
State: relaxed

a b c (Å): 4.515 4.515 4.515
angles (deg): 90.00 90.00 90.00
Positions (direct):
Cu  0.000  0.000  0.000
Ir  0.000  0.000  0.500
Ir  0.000  0.500  0.000
Ir  0.500  0.000  0.000
Se  0.500  0.500  0.500

Computed properties:
Its space-group type is No. 221. The energy relative to the lowest polymorph listed for this composition is 0.389 eV/atom.

Material: TbSm2DyEr
Method: DFT, PBE-GGA
State: relaxed

a b c (Å): 7.118 7.118 7.229
angles (deg): 90.00 90.00 107.64
Positions (direct):
Tb  0.224  0.776  0.750
Tb  0.776  0.224  0.250
Sm  0.193  0.193  0.000
Sm  0.193  0.193  0.500
Sm  0.807  0.807  0.000
Sm  0.807  0.807  0.500
Dy  0.230  0.770  0.250
Dy  0.770  0.230  0.750
Er  0.495  0.505  0.750
Er  0.505  0.495  0.250

Computed properties:
Its space-group type is No. 63. The calculation puts the formation energy at 0.411 eV/atom.

Material: SrY3P
Method: DFT, PBE-GGA
State: relaxed

a b c (Å): 5.522 5.522 5.522
angles (deg): 90.00 90.00 90.00
Positions (direct):
Sr  0.000  0.000  0.000
Y  0.000  0.000  0.500
Y  0.000  0.500  0.000
Y  0.500  0.000  0.000
P  0.500  0.500  0.500

Computed properties:
Its space-group type is No. 221. The energy relative to the lowest polymorph listed for this composition is 1.822 eV/atom. The calculation puts the formation energy at 1.393 eV/atom.

Material: Mg2CuSb
Method: DFT, PBE-GGA
State: relaxed

a b c (Å): 5.419 5.419 5.419
angles (deg): 134.54 134.54 66.24
Positions (direct):
Mg  0.000  0.000  0.000
Mg  0.750  0.250  0.500
Cu  0.500  0.500  0.000
Sb  0.250  0.750  0.500

Computed properties:
Its space-group type is No. 119.

Material: CaZnW2
Method: DFT, PBE-GGA
State: relaxed

a b c (Å): 3.897 3.897 4.805
angles (deg): 90.00 90.00 90.00
Positions (direct):
Ca  0.000  0.000  0.000
Zn  0.500  0.500  0.000
W  0.000  0.500  0.500
W  0.500  0.000  0.500

Computed properties:
Its space-group type is No. 123. The calculation puts the formation energy at 0.727 eV/atom.

Material: UB4Ir4
Method: DFT, PBE-GGA
State: relaxed

a b c (Å): 5.391 5.391 7.542
angles (deg): 90.00 90.00 90.00
Positions (direct):
U  0.250  0.750  0.250
U  0.750  0.250  0.750
B  0.080  0.250  0.101
B  0.250  0.080  0.601
B  0.250  0.420  0.601
B  0.420  0.250  0.101
B  0.580  0.750  0.899
B  0.750  0.580  0.399
B  0.750  0.920  0.399
B  0.920  0.750  0.899
Ir  0.004  0.250  0.398
Ir  0.250  0.004  0.898
Ir  0.250  0.496  0.898
Ir  0.496  0.250  0.398
Ir  0.504  0.750  0.602
Ir  0.750  0.504  0.102
Ir  0.750  0.996  0.102
Ir  0.996  0.750  0.602

Computed properties:
Its space-group type is No. 137. The energy relative to the lowest polymorph listed for this composition is 0.034 eV/atom. The calculation puts the formation energy at -0.351 eV/atom.

Material: Tb4Sm4Er3
Method: DFT, PBE-GGA
State: relaxed

a b c (Å): 11.915 11.915 11.915
angles (deg): 162.62 133.68 49.84
Positions (direct):
Tb  0.184  0.000  0.184
Tb  0.240  0.240  0.000
Tb  0.760  0.760  0.000
Tb  0.816  0.000  0.816
Sm  0.178  0.856  0.322
Sm  0.466  0.144  0.322
Sm  0.534  0.856  0.678
Sm  0.822  0.144  0.678
Er  0.108  0.608  0.500
Er  0.500  0.500  0.000
Er  0.892  0.392  0.500

Computed properties:
Its space-group type is No. 71. The energy relative to the lowest polymorph listed for this composition is 0.064 eV/atom. The calculation puts the formation energy at 0.124 eV/atom.

Material: Y5TmAs6
Method: DFT, PBE-GGA
State: relaxed

a b c (Å): 7.126 7.126 7.124
angles (deg): 99.60 99.60 119.98
Positions (direct):
Y  0.000  0.000  0.000
Y  0.167  0.833  0.500
Y  0.333  0.667  0.000
Y  0.667  0.333  0.000
Y  0.833  0.167  0.500
Tm  0.500  0.500  0.500
As  0.086  0.417  0.252
As  0.252  0.252  0.749
As  0.417  0.086  0.252
As  0.583  0.914  0.748
As  0.748  0.748  0.251
As  0.914  0.583  0.748

Computed properties:
Its space-group type is No. 12. The calculation puts the formation energy at -1.549 eV/atom.

Material: RuPt2W
Method: DFT, PBE-GGA
State: relaxed

a b c (Å): 4.879 4.876 3.875
angles (deg): 66.63 66.56 46.81
Positions (direct):
Ru  0.000  0.000  0.000
Pt  0.250  0.250  0.250
Pt  0.750  0.750  0.750
W  0.500  0.500  0.500

Computed properties:
Its space-group type is No. 69. The energy relative to the lowest polymorph listed for this composition is 0.048 eV/atom. The calculation puts the formation energy at -0.144 eV/atom.

Material: Er2AlCo
Method: DFT, PBE-GGA
State: relaxed

a b c (Å): 5.143 5.143 5.143
angles (deg): 131.79 83.66 116.36
Positions (direct):
Er  0.219  0.000  0.219
Er  0.781  0.000  0.781
Al  0.530  0.530  0.000
Co  0.819  0.319  0.500

Computed properties:
Its space-group type is No. 44. The calculation puts the formation energy at -0.227 eV/atom.

Material: CsGaS2Cl
Method: DFT, PBE-GGA
State: relaxed

a b c (Å): 5.564 5.564 6.423
angles (deg): 90.00 90.00 90.00
Positions (direct):
Cs  0.000  0.000  0.000
Ga  0.500  0.500  0.500
S  0.000  0.500  0.000
S  0.500  0.000  0.000
Cl  0.000  0.000  0.500

Computed properties:
Its space-group type is No. 123. The energy relative to the lowest polymorph listed for this composition is 1.152 eV/atom.

Material: PdPbAu
Method: DFT, PBE-GGA
State: relaxed

a b c (Å): 5.274 5.274 5.274
angles (deg): 140.47 139.10 58.19
Positions (direct):
Pd  0.000  0.000  0.000
Pb  0.332  0.332  0.000
Au  0.654  0.654  0.000

Computed properties:
Its space-group type is No. 44. The energy relative to the lowest polymorph listed for this composition is 0.043 eV/atom. The calculation puts the formation energy at -0.119 eV/atom.

Material: ZnTeOsN2
Method: DFT, PBE-GGA
State: relaxed

a b c (Å): 3.832 3.832 5.812
angles (deg): 90.00 90.00 90.00
Positions (direct):
Zn  0.000  0.000  0.000
Te  0.500  0.500  0.000
Os  0.500  0.500  0.500
N  0.000  0.500  0.500
N  0.500  0.000  0.500

Computed properties:
Its space-group type is No. 123. The energy relative to the lowest polymorph listed for this composition is 0.000 eV/atom.

Material: LiCeY2S5
Method: DFT, PBE-GGA
State: relaxed

a b c (Å): 8.398 8.398 11.917
angles (deg): 90.00 90.00 152.98
Positions (direct):
Li  0.012  0.988  0.500
Li  0.988  0.012  0.000
Ce  0.304  0.696  0.018
Ce  0.696  0.304  0.518
Y  0.378  0.622  0.311
Y  0.390  0.610  0.702
Y  0.610  0.390  0.202
Y  0.622  0.378  0.811
S  0.001  0.999  0.304
S  0.135  0.865  0.021
S  0.191  0.809  0.352
S  0.209  0.791  0.685
S  0.457  0.543  0.095
S  0.543  0.457  0.595
S  0.791  0.209  0.185
S  0.809  0.191  0.852
S  0.865  0.135  0.521
S  0.999  0.001  0.804

Computed properties:
Its space-group type is No. 36.

Material: HfSeSCl2
Method: DFT, PBE-GGA
State: relaxed

a b c (Å): 4.670 4.670 5.201
angles (deg): 90.00 90.00 90.00
Positions (direct):
Hf  0.000  0.000  0.000
Se  0.500  0.500  0.000
S  0.500  0.500  0.500
Cl  0.000  0.500  0.500
Cl  0.500  0.000  0.500

Computed properties:
Its space-group type is No. 123. The energy relative to the lowest polymorph listed for this composition is 1.145 eV/atom.

Number 1: uncorrected energy -6.582 eV per atom. Number 2: uncorrected energy -4.879 eV per atom. Number 3: uncorrected energy -4.001 eV per atom. Number 4: uncorrected energy -8.176 eV per atom. Number 5: uncorrected energy -4.541 eV per atom. Number 6: uncorrected energy -5.074 eV per atom. Number 7: uncorrected energy -4.236 eV per atom. Number 8: uncorrected energy -3.904 eV per atom. Number 9: uncorrected energy -2.910 eV per atom. Number 10: uncorrected energy -6.568 eV per atom. Number 11: uncorrected energy -8.511 eV per atom. Number 12: uncorrected energy -4.521 eV per atom. Number 13: uncorrected energy -6.940 eV per atom. Number 14: uncorrected energy -8.721 eV per atom. Number 15: uncorrected energy -5.221 eV per atom. Number 16: uncorrected energy -2.292 eV per atom. Number 17: uncorrected energy -4.179 eV per atom. Number 18: uncorrected energy -5.906 eV per atom. Number 19: uncorrected energy -6.418 eV per atom. Number 20: uncorrected energy -3.749 eV per atom.